Entry 1:
This record from Alexandria via LeMat-Bulk describes crystalline Ba4HgSb at its relaxed geometry. The functional is PBE.

Results
Formation energy without anion corrections = -12.26 kcal/mol of atoms
Distance to the lowest polymorph of the same formula = 0 meV/atom
V = 48.8 Å³/atom
Total moment = 0.37 Bohr magnetons per cell
Uncorrected energy = -2.5510 eV per atom

Cell: 5.905 5.905 8.404 Å, 90.00 90.00 90.00°
Sites, in units of the cell vectors:
Ba 0.000 0.500 0.250
Ba 0.000 0.500 0.750
Ba 0.500 0.000 0.250
Ba 0.500 0.000 0.750
Hg 0.000 0.000 0.000
Sb 0.500 0.500 0.500

***

Entry 2:
This record from Alexandria via LeMat-Bulk describes crystalline Th2HgIrPb at its relaxed geometry. The functional is PBE.

Results
V = 27.7 Å³/atom
Total moment = 0.00 Bohr magnetons per cell
Formation enthalpy at 0 K = -0.55 eV/atom
Uncorrected energy = -6.0887 eV per atom

Cell: 7.868 4.262 9.005 Å, 90.00 113.50 90.00°
Sites, in units of the cell vectors:
Th 0.044 0.250 0.195
Th 0.449 0.750 0.154
Th 0.551 0.250 0.846
Th 0.956 0.750 0.805
Hg 0.120 0.250 0.611
Hg 0.880 0.750 0.389
Ir 0.227 0.250 0.965
Ir 0.773 0.750 0.035
Pb 0.349 0.750 0.508
Pb 0.651 0.250 0.492

***

Question: What is the uncorrected energy in the first record?
Answer: -2.5510 eV per atom